Computed, not measured: an optimized crystal structure of CeGdOsPd at the GGA-PBE level of DFT.

Lattice parameters (Å, degrees): 4.948 4.948 4.948 60.00 60.00 60.00
Fractional coordinates of all 4 atoms:
Os  0.000  0.000  0.000
Pd  0.500  0.500  0.500
Gd  0.250  0.250  0.250
Ce  0.750  0.750  0.750

Symmetry   No. 216
Formation energy   -0.43 eV per atom
Total DFT energy (no corrections)   -9.536 eV/atom


Computed, not measured: an optimized crystal structure of LiInPCl2 at the GGA-PBE level of DFT.

Lattice parameters (Å, degrees): 4.568 4.568 5.309 90.00 90.00 90.00
Fractional coordinates of all 5 atoms:
Li  0.000  0.000  0.000
P  0.000  0.000  0.500
Cl  0.000  0.500  0.000
Cl  0.500  0.000  0.000
In  0.500  0.500  0.500

Formation energy (no corrections)   -0.2664 eV/atom
Symmetry   No. 123
Total DFT energy (no corrections)   -3.017 eV/atom
Energy above the lowest structure with this stoichiometry   38 meV per atom


Computed, not measured: an optimized crystal structure of TlSnPb2Br at the GGA-PBE level of DFT.

Lattice parameters (Å, degrees): 10.572 4.546 7.820 90.00 104.23 90.00
Fractional coordinates of all 10 atoms:
Pb  0.596  0.000  0.524
Pb  0.923  0.500  0.133
Pb  0.923  0.000  0.633
Pb  0.596  0.500  0.024
Tl  0.170  0.000  0.381
Tl  0.170  0.500  0.881
Br  0.344  0.500  0.604
Br  0.344  0.000  0.104
Sn  0.766  0.000  0.915
Sn  0.766  0.500  0.415

Formation energy (no corrections)   -0.2148 eV/atom
Symmetry   No. 8
Total DFT energy (no corrections)   -3.307 eV/atom
Energy above the lowest structure with this stoichiometry   4 meV per atom


Computed, not measured: an optimized crystal structure of Ta2AgCl at the GGA-PBE level of DFT.

Lattice parameters (Å, degrees): 2.926 2.926 9.300 90.00 90.00 90.00
Fractional coordinates of all 4 atoms:
Cl  0.500  0.500  0.814
Ta  0.000  0.000  0.996
Ta  0.500  0.500  0.233
Ag  0.000  0.000  0.457

Formation energy (no corrections)   0.0098 eV/atom
Symmetry   No. 99
Total DFT energy (no corrections)   -7.091 eV/atom
Energy above the lowest structure with this stoichiometry   63 meV per atom


Computed, not measured: an optimized crystal structure of Sm12Y5Tm2 at the GGA-PBE level of DFT.

Lattice parameters (Å, degrees): 6.871 9.047 11.936 117.92 102.55 77.87
Fractional coordinates of all 19 atoms:
Y  0.000  0.500  0.000
Y  0.747  0.551  0.518
Y  0.253  0.449  0.482
Y  0.378  0.878  0.695
Y  0.622  0.122  0.305
Sm  0.631  0.548  0.777
Sm  0.026  0.777  0.395
Sm  0.974  0.223  0.605
Sm  0.488  0.708  0.079
Sm  0.862  0.982  0.731
Sm  0.138  0.018  0.269
Sm  0.875  0.362  0.208
Sm  0.512  0.292  0.921
Sm  0.458  0.180  0.602
Sm  0.542  0.820  0.398
Sm  0.125  0.638  0.792
Sm  0.369  0.452  0.223
Tm  0.763  0.941  0.992
Tm  0.237  0.059  0.008

Symmetry   No. 2
Formation energy   0.10 eV per atom
Total DFT energy (no corrections)   -5.050 eV/atom
Energy above the lowest structure with this stoichiometry   3 meV per atom


Computed, not measured: an optimized crystal structure of KTeS2N at the GGA-PBE level of DFT.

Lattice parameters (Å, degrees): 5.450 5.450 4.260 90.00 90.00 90.00
Fractional coordinates of all 5 atoms:
N  0.000  0.000  0.500
Te  0.500  0.500  0.500
K  0.000  0.000  0.000
S  0.000  0.500  0.000
S  0.500  0.000  0.000

Formation energy (no corrections)   1.9319 eV/atom
Symmetry   No. 123
Total DFT energy (no corrections)   -2.232 eV/atom
Energy above the lowest structure with this stoichiometry   1550 meV per atom


Computed, not measured: an optimized crystal structure of Cr3GaB at the GGA-PBE level of DFT.

Lattice parameters (Å, degrees): 3.907 3.907 3.907 90.00 90.00 90.00
Fractional coordinates of all 5 atoms:
Cr  0.500  0.000  0.000
Cr  0.000  0.500  0.000
Cr  0.000  0.000  0.500
Ga  0.500  0.500  0.500
B  0.000  0.000  0.000

Symmetry   No. 221
Formation energy   0.18 eV per atom
Total DFT energy (no corrections)   -7.530 eV/atom
Energy above the lowest structure with this stoichiometry   0 meV per atom


Computed, not measured: an optimized crystal structure of Pa2TcNi3P4 at the GGA-PBE level of DFT.

Lattice parameters (Å, degrees): 4.069 4.069 9.040 90.00 90.00 90.00
Fractional coordinates of all 10 atoms:
P  0.500  0.500  0.000
P  0.500  0.000  0.640
P  0.000  0.000  0.000
P  0.000  0.500  0.360
Pa  0.500  0.000  0.238
Pa  0.000  0.500  0.762
Ni  0.500  0.000  0.888
Ni  0.000  0.500  0.112
Ni  0.000  0.000  0.500
Tc  0.500  0.500  0.500

Symmetry   No. 115
Formation energy   -0.87 eV per atom
Total DFT energy (no corrections)   -7.701 eV/atom


Computed, not measured: an optimized crystal structure of Zr2ReCl at the GGA-PBE level of DFT.

Lattice parameters (Å, degrees): 7.945 7.945 7.945 155.47 156.14 34.49
Fractional coordinates of all 4 atoms:
Zr  0.064  0.064  0.000
Zr  0.789  0.289  0.500
Re  0.198  0.698  0.500
Cl  0.449  0.449  0.000

Formation energy (no corrections)   -0.2496 eV/atom
Symmetry   No. 44
Total DFT energy (no corrections)   -8.097 eV/atom
Energy above the lowest structure with this stoichiometry   386 meV per atom


Computed, not measured: an optimized crystal structure of SmErTh2P4 at the GGA-PBE level of DFT.

Lattice parameters (Å, degrees): 4.103 7.056 7.109 70.32 90.00 90.00
Fractional coordinates of all 8 atoms:
P  0.500  0.256  0.744
P  0.000  0.253  0.253
P  0.500  0.744  0.256
P  0.000  0.747  0.747
Sm  0.500  0.500  0.000
Th  0.500  0.000  0.500
Th  0.000  0.000  0.000
Er  0.000  0.500  0.500

Symmetry   No. 10
Formation energy   -1.57 eV per atom
Total DFT energy (no corrections)   -7.293 eV/atom


Computed, not measured: an optimized crystal structure of PaGa3Rh2 at the GGA-PBE level of DFT.

Lattice parameters (Å, degrees): 4.154 8.897 9.729 114.89 90.00 103.50
Fractional coordinates of all 18 atoms:
Pa  0.172  0.344  0.693
Pa  0.828  0.656  0.307
Pa  0.000  0.000  0.000
Ga  0.205  0.411  0.381
Ga  0.629  0.257  0.195
Ga  0.310  0.620  0.060
Ga  0.690  0.380  0.940
Ga  0.371  0.743  0.805
Ga  0.795  0.589  0.619
Ga  0.024  0.049  0.347
Ga  0.976  0.951  0.653
Ga  0.500  0.000  0.500
Rh  0.529  0.058  0.825
Rh  0.834  0.668  0.918
Rh  0.367  0.734  0.538
Rh  0.471  0.942  0.175
Rh  0.633  0.266  0.462
Rh  0.166  0.332  0.082

Symmetry   No. 12
Formation energy   -0.61 eV per atom
Total DFT energy (no corrections)   -6.154 eV/atom


Computed, not measured: an optimized crystal structure of La4GaRhI2 at the GGA-PBE level of DFT.

Lattice parameters (Å, degrees): 4.366 7.655 8.437 107.19 90.00 90.00
Fractional coordinates of all 8 atoms:
La  0.500  0.226  0.193
La  0.500  0.774  0.807
La  0.000  0.757  0.191
La  0.000  0.243  0.809
I  0.500  0.000  0.500
I  0.000  0.500  0.500
Rh  0.000  0.000  0.000
Ga  0.500  0.500  0.000

Formation energy (no corrections)   -0.9029 eV/atom
Symmetry   No. 10
Total DFT energy (no corrections)   -5.051 eV/atom